Entry 1:
# CuAuSO PBE-GGA relaxed
# Crystal system = tetragonal
# VASP energy = -31.3 eV for the cell shown
# Mass density = 7.85 Mg/m³
# Total magnetic moment = 0.00 μB/atom
# ΔE_f (raw) = 0.2049 eV/atom
data_CuAuSO
_chemical_formula_sum 'Cu2 Au2 S2 O2'
_cell_length_a 4.1917
_cell_length_b 4.1917
_cell_length_c 7.4257
_cell_angle_alpha 90.00
_cell_angle_beta 90.00
_cell_angle_gamma 90.00
_space_group_name_H-M_alt 'P 4/n m m'
_space_group_IT_number 129
loop_
_space_group_symop_operation_xyz
'x,y,z'
'-x,-y,-z'
'-y+1/2,x,z'
'y+1/2,-x,-z'
'-x+1/2,-y+1/2,z'
'x+1/2,y+1/2,-z'
'y,-x+1/2,z'
'-y,x+1/2,-z'
'x+1/2,-y,-z'
'-x+1/2,y,z'
'-y,-x,-z'
'y,x,z'
'-x,y+1/2,-z'
'x,-y+1/2,z'
'y+1/2,x+1/2,-z'
'-y+1/2,-x+1/2,z'
loop_
_atom_site_label
_atom_site_type_symbol
_atom_site_fract_x
_atom_site_fract_y
_atom_site_fract_z
Cu1 Cu 0.2500 0.7500 0.0000
Au1 Au 0.2500 0.2500 0.4284
S1 S 0.2500 0.2500 0.8604
O1 O 0.2500 0.7500 0.5000

Entry 2:
# CuSbAu2O8 PBE-GGA relaxed
# Crystal system = tetragonal
# VASP energy = -108.8 eV for the cell shown
# Mass density = 7.90 Mg/m³
# Total magnetic moment = 0.06 μB/atom
# ΔE_f (raw) = 0.0033 eV/atom
data_CuSbAu2O8
_chemical_formula_sum 'Cu2 Sb2 Au4 O16'
_cell_length_a 6.4681
_cell_length_b 6.4681
_cell_length_c 7.1046
_cell_angle_alpha 90.00
_cell_angle_beta 90.00
_cell_angle_gamma 90.00
_space_group_name_H-M_alt 'I -4 m 2'
_space_group_IT_number 119
_space_group_name_Hall 'I -4 -2'
loop_
_atom_site_label
_atom_site_type_symbol
_atom_site_fract_x
_atom_site_fract_y
_atom_site_fract_z
Cu1 Cu 0.0000 0.0000 0.0000
Sb1 Sb 0.0000 0.5000 0.2500
Au1 Au 0.0000 0.0000 0.5000
Au2 Au 0.0000 0.5000 0.7500
O1 O 0.0000 0.1869 0.2774
O2 O 0.0000 0.3133 0.9812

Q: Which value of VASP energy does entry 1 give?
A: -31.3 eV for the cell shown

Q: Look up the VASP energy of the first one.
A: -31.3 eV for the cell shown